No. 1
# PBE-GGA Al2FeAg, optimized geometry
data_Al2FeAg
_chemical_formula_sum 'Al2 Fe1 Ag1'
_cell_length_a 2.8958
_cell_length_b 2.8958
_cell_length_c 6.7499
_cell_angle_alpha 90.00
_cell_angle_beta 90.00
_cell_angle_gamma 90.00
_space_group_name_H-M_alt 'P 4/m m m'
_space_group_IT_number 123
_space_group_name_Hall '-P 4 2'
loop_
_atom_site_label
_atom_site_fract_x
_atom_site_fract_y
_atom_site_fract_z
Al1 0.0000 0.0000 0.2020
Fe1 0.5000 0.5000 0.0000
Ag1 0.5000 0.5000 0.5000
# * total DFT energy (no corrections): -19.76 eV/f.u.
# * energy of formation from the pure elements: -92 kJ/mol of formula units
# * energy relative to the lowest polymorph listed for this composition: 0.0 meV per atom

=====

No. 2
# PBE-GGA Al2FeAg, optimized geometry
data_Al2FeAg
_chemical_formula_sum 'Al6 Fe3 Ag3'
_cell_length_a 2.8488
_cell_length_b 2.8488
_cell_length_c 25.2047
_cell_angle_alpha 90.00
_cell_angle_beta 90.00
_cell_angle_gamma 120.00
_space_group_name_H-M_alt 'R 3 m'
_space_group_IT_number 160
_space_group_name_Hall 'R 3 -2"'
loop_
_atom_site_label
_atom_site_fract_x
_atom_site_fract_y
_atom_site_fract_z
Al1 0.0000 0.0000 0.0000
Al2 0.0000 0.0000 0.1852
Fe1 0.0000 0.0000 0.5927
Ag1 0.0000 0.0000 0.7582
# * total DFT energy (no corrections): -19.17 eV/f.u.
# * energy of formation from the pure elements: -36 kJ/mol of formula units
# * energy relative to the lowest polymorph listed for this composition: 146.8 meV per atom

=====

No. 3
# PBE-GGA Al2FeAg, optimized geometry
data_Al2FeAg
_chemical_formula_sum 'Al4 Fe2 Ag2'
_cell_length_a 9.4650
_cell_length_b 2.8815
_cell_length_c 4.4782
_cell_angle_alpha 90.00
_cell_angle_beta 107.12
_cell_angle_gamma 90.00
_space_group_name_H-M_alt 'C 1 m 1'
_space_group_IT_number 8
loop_
_space_group_symop_operation_xyz
'x,y,z'
'x,-y,z'
'x+1/2,y+1/2,z'
'x+1/2,-y+1/2,z'
loop_
_atom_site_label
_atom_site_fract_x
_atom_site_fract_y
_atom_site_fract_z
Al1 0.0000 0.0000 0.0000
Al2 0.2401 0.0000 0.6451
Fe1 0.2327 0.5000 0.1242
Ag1 0.4864 0.0000 0.4835
# * total DFT energy (no corrections): -19.11 eV/f.u.
# * energy of formation from the pure elements: -30 kJ/mol of formula units
# * energy relative to the lowest polymorph listed for this composition: 162.7 meV per atom